Density functional theory data (GGA+U) for crystalline Cr3O3F at its relaxed geometry.

Summary:
E = -7.49 eV per atom
total magnetization = 44.000 μB/cell

Unit cell a=9.2973 b=9.2973 c=4.0117 alpha=90.00 beta=90.00 gamma=90.00
Closest atoms and distances in Å follow each position.
Space group P4_2/mnm (No. 136)
Unique sites:
Cr: 0.1229 0.1229 0.0000 x4  4 O 2.03-2.05, 2 F 2.07
Cr: 0.1305 0.6330 0.0000 x8  4 O 2.06-2.10
O: 0.0940 0.3413 0.0000 x8  4 Cr 2.05-2.10
O: 0.1485 0.1485 0.5000 x4  4 Cr 2.03-2.06
F: 0.0981 0.9019 0.0000 x4  2 Cr 2.07